{"formula": "Mn2AgPt9", "functional": "PBE-GGA", "state": "optimized geometry", "total_energy_ev_per_fu": -78.3, "e_form_ev_per_atom": -0.227, "dos_at_fermi_per_ev_cell": 13.63, "crystal_system": "tetragonal", "lattice": [[3.9511, 0.0000, 0.0000], [0.0000, 3.9511, 0.0000], [0.0000, 0.0000, 11.8756]], "species": ["Pt", "Pt", "Pt", "Pt", "Pt", "Pt", "Pt", "Pt", "Pt", "Mn", "Mn", "Ag"], "fractional_positions": [[0.5000, 0.0000, 0.1739], [0.5000, 0.0000, 0.5000], [0.0000, 0.5000, 0.5000], [0.0000, 0.5000, 0.1739], [0.0000, 0.5000, 0.8261], [0.5000, 0.5000, 0.3368], [0.5000, 0.5000, 0.0000], [0.5000, 0.0000, 0.8261], [0.5000, 0.5000, 0.6632], [0.0000, 0.0000, 0.6662], [0.0000, 0.0000, 0.3338], [0.0000, 0.0000, 0.0000]]}

{"formula": "LaCdB", "functional": "PBE-GGA", "state": "optimized geometry", "total_energy_ev_per_fu": -12.1, "e_above_lowest_polymorph_ev_per_atom": 0.5034, "e_form_ev_per_atom": 0.154, "dos_at_fermi_per_ev_cell": 2.31, "crystal_system": "monoclinic", "lattice": [[5.4060, 0.0118, -0.0039], [-0.2547, 6.3143, 0.0137], [-0.0010, 1.3985, 3.9778]], "species": ["B", "B", "Cd", "Cd", "La", "La"], "fractional_positions": [[0.5510, 0.9555, 0.6373], [0.9217, 0.4081, 0.9111], [0.2257, 0.7280, 0.7512], [0.9276, 0.1725, 0.5288], [0.7721, 0.6871, 0.2714], [0.4329, 0.2146, 0.0078]]}

{"formula": "FeNi7Sb2Pt2", "functional": "PBE-GGA", "state": "optimized geometry", "total_energy_ev_per_fu": -69.8, "dos_at_fermi_per_ev_cell": 10.88, "crystal_system": "monoclinic", "lattice": [[3.5009, -0.0022, 0.0254], [0.0020, 3.5009, 0.0254], [1.6844, 1.6823, 13.8580]], "species": ["Ni", "Ni", "Ni", "Ni", "Ni", "Ni", "Ni", "Pt", "Pt", "Fe", "Sb", "Sb"], "fractional_positions": [[0.5000, 0.5000, 0.0000], [0.5644, 0.0644, 0.8732], [0.7313, 0.7313, 0.5391], [0.4356, 0.9356, 0.1268], [0.9356, 0.4356, 0.1268], [0.0644, 0.5644, 0.8732], [0.2687, 0.2687, 0.4609], [0.3644, 0.3644, 0.2663], [0.6356, 0.6356, 0.7337], [0.0000, 0.0000, 0.0000], [0.1833, 0.1833, 0.6391], [0.8167, 0.8167, 0.3609]]}